The following is a DFT calculation (PBE+U) of a geometry-optimized LaMnIn4O8 structure.

total magnetic moment	5.0	μB per formula unit
DFT total energy	-88.7	eV/cell

a b c (Å): 6.6777 6.6777 6.6603
angles (deg): 59.91 59.91 60.00
Closest atoms and distances in Å follow each position.
Fractional coordinates of all 14 atoms:
La (0.3782, 0.3782, 0.8653)  4 O 2.28-2.32
Mn (0.0004, 0.0004, 0.9988)  6 O 2.23-2.29
In (0.6226, 0.6226, 0.1321)  4 O 2.21-2.23
In (0.9999, 0.5010, 0.4992)  6 O 2.22-2.27
In (0.5010, 0.9999, 0.4992)  6 O 2.22-2.27
In (0.9999, 0.9999, 0.4992)  6 O 2.22-2.27
O (0.2361, 0.7966, 0.7312)  2 In 2.22, 1 Mn 2.23, 1 La 2.28
O (0.7966, 0.2361, 0.7312)  2 In 2.22, 1 Mn 2.23, 1 La 2.28
O (0.2361, 0.2361, 0.7312)  2 In 2.22, 1 Mn 2.23, 1 La 2.28
O (0.2361, 0.2361, 0.2918)  3 In 2.24, 1 La 2.32
O (0.7579, 0.2177, 0.2665)  3 In 2.21-2.24, 1 Mn 2.29
O (0.2177, 0.7579, 0.2665)  3 In 2.21-2.24, 1 Mn 2.29
O (0.7579, 0.7579, 0.2665)  3 In 2.21-2.24, 1 Mn 2.29
O (0.7595, 0.7595, 0.7215)  4 In 2.23-2.27